[1]
! Tl2ReSb | Alexandria via LeMat-Bulk | GGA-PBE | optimized geometry; values from VASP
! * VASP energy: -4.827 eV/atom
! * energy relative to the elements, uncorrected: 0.4989 eV per atom
! * density of states at the Fermi level: 1.96 states/eV/f.u.
! * ρ: 11.27 Mg/m³
! * V: 26.40 Å³/atom
&SYSTEM
  ibrav = 0, nat = 4, ntyp = 3
/
ATOMIC_SPECIES
Sb 121.76 Sb.upf
Re 186.21 Re.upf
Tl 204.38 Tl.upf
CELL_PARAMETERS angstrom
4.9974 0.0022 0.0175
3.9818 3.0198 0.0175
2.3605 0.7945 7.0098
ATOMIC_POSITIONS crystal
Sb 0.1851 0.1851 0.3748
Re 0.4644 0.4644 0.3747
Tl 0.0160 0.0160 0.0159
Tl 0.8346 0.8346 0.7345

[2]
! Tl2ReSb | Alexandria via LeMat-Bulk | GGA-PBE | optimized geometry; values from VASP
! * VASP energy: -4.414 eV/atom
! * energy relative to the elements, uncorrected: 0.9121 eV per atom
! * density of states at the Fermi level: 2.44 states/eV/f.u.
! * ρ: 12.02 Mg/m³
! * V: 24.76 Å³/atom
&SYSTEM
  ibrav = 0, nat = 4, ntyp = 3
/
ATOMIC_SPECIES
Tl 204.38 Tl.upf
Sb 121.76 Sb.upf
Re 186.21 Re.upf
CELL_PARAMETERS angstrom
-0.1758 -3.1689 4.0946
2.3836 -2.2814 -1.6633
5.7392 0.8469 0.9019
ATOMIC_POSITIONS crystal
Tl 0.0000 0.1730 0.0202
Tl 0.0000 0.3270 0.4798
Sb 0.5000 0.7500 0.7500
Re 0.5000 0.2500 0.2500

[3]
! TlRe2Sb2 | Alexandria via LeMat-Bulk | GGA-PBE | optimized geometry; values from VASP
! * VASP energy: -6.417 eV/atom
! * energy relative to the elements, uncorrected: 0.6842 eV per atom
! * density of states at the Fermi level: 4.53 states/eV/f.u.
! * ρ: 13.61 Mg/m³
! * V: 20.01 Å³/atom
&SYSTEM
  ibrav = 0, nat = 10, ntyp = 3
/
ATOMIC_SPECIES
Re 186.21 Re.upf
Sb 121.76 Sb.upf
Tl 204.38 Tl.upf
CELL_PARAMETERS angstrom
7.9223 0.0000 0.0000
0.0000 7.9223 0.0000
0.0000 0.0000 3.1886
ATOMIC_POSITIONS crystal
Re 0.8554 0.6446 0.0000
Re 0.1446 0.3554 0.0000
Re 0.6446 0.1446 0.0000
Re 0.3554 0.8554 0.0000
Sb 0.1470 0.6470 0.5000
Sb 0.8530 0.3530 0.5000
Sb 0.3530 0.1470 0.5000
Sb 0.6470 0.8530 0.5000
Tl 0.0000 0.0000 0.0000
Tl 0.5000 0.5000 0.0000